# Na3TlSn2

A relaxed structure of Na3TlSn2 (PBE, Alexandria via LeMat-Bulk).

DOS(E_F) (states/eV per atom): 0.33
Calculated formation energy (eV/atom): -0.155
VASP energy (eV/atom): -2.5432
M_tot (μB/f.u.): 0.00
Crystal system: monoclinic

Geometry as POSCAR:
```
Na3TlSn2
1.0
-1.924 -4.619 -0.732
2.020 -1.788 5.974
-11.250 5.062 -2.363
Na Sn Tl
6 4 2
direct
0.250 0.270 0.403
0.750 0.235 0.949
0.250 0.247 0.741
0.750 0.730 0.597
0.750 0.753 0.259
0.250 0.765 0.051
0.750 0.187 0.548
0.750 0.596 0.837
0.250 0.813 0.452
0.250 0.404 0.163
0.750 0.159 0.194
0.250 0.841 0.806
```

# Ac2TePd6

A relaxed structure of Ac2TePd6 (PBE, Alexandria via LeMat-Bulk).

DOS(E_F) (states/eV per atom): 0.43
Uncorrected formation energy (meV/atom): -756
VASP energy (eV/atom): -5.4802
M_tot (μB/f.u.): 0.00
Crystal system: monoclinic

Geometry as POSCAR:
```
Ac2TePd6
1.0
-2.701 2.827 -4.597
-2.212 -5.126 2.109
-4.519 2.119 3.959
Pd Ac Te
6 2 1
direct
0.405 0.274 0.676
0.131 0.726 0.324
0.595 0.726 0.324
0.869 0.274 0.676
0.874 0.748 0.678
0.126 0.252 0.322
0.361 0.722 0.815
0.639 0.278 0.185
0.000 0.000 0.000
```

# CaTa2Tc

A relaxed structure of CaTa2Tc (PBE, Alexandria via LeMat-Bulk).

DOS(E_F) (states/eV per atom): 0.82
Calculated formation energy (eV/atom): 0.338
Energy above the lowest structure with this stoichiometry (eV per atom): 0.071
VASP energy (eV/atom): -8.6807
M_tot (μB/f.u.): 0.00
Crystal system: monoclinic

Geometry as POSCAR:
```
CaTa2Tc
1.0
5.750 0.003 0.007
4.858 3.077 0.007
2.195 0.637 4.493
Ta Tc Ca
2 1 1
direct
0.038 0.038 0.961
0.462 0.462 0.539
0.750 0.750 0.750
0.250 0.250 0.250
```